Material: LiScTiSn
Method: DFT, PBE-GGA
State: relaxed

Calculated values
E_tot ... -84.127 eV per cell

The structure in CIF format:
```
data_LiScTiSn
_symmetry_space_group_name_H-M 'F -4 3 m'
_symmetry_Int_Tables_number 216
_symmetry_space_group_name_Hall 'F -4 2 3'
_cell_length_a 6.760
_cell_length_b 6.760
_cell_length_c 6.760
_cell_angle_alpha 90.00
_cell_angle_beta 90.00
_cell_angle_gamma 90.00
loop_
_atom_site_label
_atom_site_type_symbol
_atom_site_fract_x
_atom_site_fract_y
_atom_site_fract_z
Li1 Li 0.000 0.000 0.000
Sc1 Sc 0.250 0.250 0.750
Ti1 Ti 0.250 0.250 0.250
Sn1 Sn 0.000 0.000 0.500
```

---

Material: Pu2BeAlPd6
Method: DFT, PBE-GGA
State: relaxed

Calculated values
E_tot ... -144.186 eV per cell

The structure in CIF format:
```
data_Pu2BeAlPd6
_symmetry_space_group_name_H-M 'C 1 2/m 1'
_symmetry_Int_Tables_number 12
_cell_length_a 10.063
_cell_length_b 5.807
_cell_length_c 7.150
_cell_angle_alpha 90.00
_cell_angle_beta 118.05
_cell_angle_gamma 90.00
loop_
_symmetry_equiv_pos_as_xyz
'x,y,z'
'-x,-y,-z'
'-x,y,-z'
'x,-y,z'
'x+1/2,y+1/2,z'
'-x+1/2,-y+1/2,-z'
'-x+1/2,y+1/2,-z'
'x+1/2,-y+1/2,z'
loop_
_atom_site_label
_atom_site_type_symbol
_atom_site_fract_x
_atom_site_fract_y
_atom_site_fract_z
Pu1 Pu 0.217 0.000 0.153
Be1 Be 0.000 0.000 0.500
Al1 Al 0.000 0.500 0.000
Pd1 Pd 0.019 0.259 0.300
Pd2 Pd 0.240 0.000 0.698
```

---

Material: Tl2WBr
Method: DFT, PBE-GGA
State: relaxed

Calculated values
Formation energy (no corrections) ... 485 meV/atom
Energy relative to the lowest polymorph listed for this composition ... 0 meV/atom

The structure in CIF format:
```
data_Tl2WBr
_symmetry_space_group_name_H-M 'R 3 m'
_symmetry_Int_Tables_number 160
_symmetry_space_group_name_Hall 'R 3 -2"'
_cell_length_a 3.2758
_cell_length_b 3.2758
_cell_length_c 31.9997
_cell_angle_alpha 90.00
_cell_angle_beta 90.00
_cell_angle_gamma 120.00
loop_
_atom_site_label
_atom_site_type_symbol
_atom_site_fract_x
_atom_site_fract_y
_atom_site_fract_z
Tl1 Tl 0.0000 0.0000 0.0000
Tl2 Tl 0.0000 0.0000 0.2442
W1 W 0.0000 0.0000 0.7420
Br1 Br 0.0000 0.0000 0.4634
```

---

Material: Ta2BeTl
Method: DFT, PBE-GGA
State: relaxed

Calculated values
Energy relative to the lowest polymorph listed for this composition ... 500 meV/atom

The structure in CIF format:
```
data_Ta2BeTl
_symmetry_space_group_name_H-M 'F -4 3 m'
_symmetry_Int_Tables_number 216
_symmetry_space_group_name_Hall 'F -4 2 3'
_cell_length_a 6.587
_cell_length_b 6.587
_cell_length_c 6.587
_cell_angle_alpha 90.00
_cell_angle_beta 90.00
_cell_angle_gamma 90.00
loop_
_atom_site_label
_atom_site_type_symbol
_atom_site_fract_x
_atom_site_fract_y
_atom_site_fract_z
Ta1 Ta 0.000 0.000 0.000
Ta2 Ta 0.250 0.250 0.250
Be1 Be 0.250 0.250 0.750
Tl1 Tl 0.000 0.000 0.500
```